Entry 1:
## ErSc4Hg5 (GGA-PBE)

Data for ErSc4Hg5 after structural relaxation.

Unit cell a=3.556 b=3.556 c=17.783 alpha=90.00 beta=90.00 gamma=90.00
Fractional coordinates of all 10 atoms:
Er1 0.000 0.000 0.000
Sc1 0.000 0.000 0.207
Sc2 0.000 0.000 0.402
Sc3 0.000 0.000 0.598
Sc4 0.000 0.000 0.793
Hg1 0.500 0.500 0.110
Hg2 0.500 0.500 0.304
Hg3 0.500 0.500 0.500
Hg4 0.500 0.500 0.696
Hg5 0.500 0.500 0.890

Values from the calculation:
Fermi-level density of states: 9.9 states/eV/cell
Calculated density: 9.97 g/cm3
Space group: P4/mmm


Entry 2:
## ErSc2Hg8 (GGA-PBE)

Data for ErSc2Hg8 after structural relaxation.

Unit cell a=8.340 b=8.340 c=8.340 alpha=146.15 beta=126.57 gamma=64.77
Fractional coordinates of all 11 atoms:
Er1 0.000 0.000 0.000
Sc1 0.309 0.309 0.000
Sc2 0.691 0.691 0.000
Hg1 0.135 0.849 0.286
Hg2 0.158 0.658 0.500
Hg3 0.299 0.500 0.799
Hg4 0.437 0.151 0.286
Hg5 0.563 0.849 0.714
Hg6 0.701 0.500 0.201
Hg7 0.842 0.342 0.500
Hg8 0.865 0.151 0.714

Values from the calculation:
Fermi-level density of states: 5.9 states/eV/cell
Calculated density: 12.05 g/cm3
Space group: Immm


Entry 3:
## Er2ScHg6 (GGA-PBE)

Data for Er2ScHg6 after structural relaxation.

Unit cell a=9.119 b=9.119 c=5.344 alpha=97.79 beta=97.79 gamma=78.26
Fractional coordinates of all 18 atoms:
Er1 0.042 0.293 0.082
Er2 0.293 0.042 0.582
Er3 0.707 0.958 0.418
Er4 0.958 0.707 0.918
Sc1 0.376 0.624 0.750
Sc2 0.624 0.376 0.250
Hg1 0.072 0.815 0.473
Hg2 0.158 0.407 0.638
Hg3 0.185 0.928 0.027
Hg4 0.269 0.516 0.195
Hg5 0.407 0.158 0.138
Hg6 0.484 0.731 0.305
Hg7 0.516 0.269 0.695
Hg8 0.593 0.842 0.862
Hg9 0.731 0.484 0.805
Hg10 0.815 0.072 0.973
Hg11 0.842 0.593 0.362
Hg12 0.928 0.185 0.527

Values from the calculation:
Fermi-level density of states: 8.7 states/eV/cell
Calculated density: 12.27 g/cm3
Space group: C2/c


Entry 4:
## ErSc2Hg5 (GGA-PBE)

Data for ErSc2Hg5 after structural relaxation.

Unit cell a=5.001 b=5.001 c=14.452 alpha=90.00 beta=90.00 gamma=90.00
Fractional coordinates of all 16 atoms:
Er1 0.000 0.000 0.000
Er2 0.500 0.500 0.500
Sc1 0.000 0.000 0.261
Sc2 0.000 0.000 0.739
Sc3 0.500 0.500 0.239
Sc4 0.500 0.500 0.761
Hg1 0.000 0.000 0.500
Hg2 0.000 0.500 0.132
Hg3 0.000 0.500 0.368
Hg4 0.000 0.500 0.632
Hg5 0.000 0.500 0.868
Hg6 0.500 0.000 0.132
Hg7 0.500 0.000 0.368
Hg8 0.500 0.000 0.632
Hg9 0.500 0.000 0.868
Hg10 0.500 0.500 0.000

Values from the calculation:
Fermi-level density of states: 8.2 states/eV/cell
Calculated density: 11.58 g/cm3
Space group: I4/mmm


Entry 5:
## ErScHg6 (GGA-PBE)

Data for ErScHg6 after structural relaxation.

Unit cell a=6.000 b=6.000 c=6.000 alpha=86.91 beta=86.91 gamma=86.91
Fractional coordinates of all 8 atoms:
Er1 0.000 0.000 0.000
Sc1 0.500 0.500 0.500
Hg1 0.162 0.162 0.532
Hg2 0.162 0.532 0.162
Hg3 0.468 0.838 0.838
Hg4 0.532 0.162 0.162
Hg5 0.838 0.468 0.838
Hg6 0.838 0.838 0.468

Values from the calculation:
Fermi-level density of states: 6.2 states/eV/cell
Calculated density: 10.93 g/cm3
Space group: R-3m


Entry 6:
## Er4ScHg2 (GGA-PBE)

Data for Er4ScHg2 after structural relaxation.

Unit cell a=8.949 b=8.949 c=8.949 alpha=34.65 beta=34.65 gamma=34.65
Fractional coordinates of all 7 atoms:
Er1 0.131 0.131 0.131
Er2 0.269 0.269 0.269
Er3 0.731 0.731 0.731
Er4 0.869 0.869 0.869
Sc1 0.500 0.500 0.500
Hg1 0.388 0.388 0.388
Hg2 0.612 0.612 0.612

Values from the calculation:
Fermi-level density of states: 11.1 states/eV/cell
Calculated density: 8.96 g/cm3
Space group: R-3m


Entry 7:
## ErScHg3 (GGA-PBE)

Data for ErScHg3 after structural relaxation.

Unit cell a=7.937 b=7.937 c=6.328 alpha=102.02 beta=102.02 gamma=37.30
Fractional coordinates of all 10 atoms:
Er1 0.108 0.108 0.427
Er2 0.892 0.892 0.573
Sc1 0.310 0.310 0.887
Sc2 0.690 0.690 0.113
Hg1 0.103 0.103 0.912
Hg2 0.297 0.297 0.350
Hg3 0.493 0.493 0.748
Hg4 0.507 0.507 0.252
Hg5 0.703 0.703 0.650
Hg6 0.897 0.897 0.088

Values from the calculation:
Fermi-level density of states: 6.7 states/eV/cell
Calculated density: 11.47 g/cm3
Space group: C2/m


Entry 8:
## Er2ScHg4 (GGA-PBE)

Data for Er2ScHg4 after structural relaxation.

Unit cell a=9.007 b=9.007 c=9.007 alpha=32.01 beta=32.01 gamma=32.01
Fractional coordinates of all 7 atoms:
Er1 0.246 0.246 0.246
Er2 0.754 0.754 0.754
Sc1 0.000 0.000 0.000
Hg1 0.127 0.127 0.127
Hg2 0.372 0.372 0.372
Hg3 0.628 0.628 0.628
Hg4 0.873 0.873 0.873

Values from the calculation:
Fermi-level density of states: 5.2 states/eV/cell
Calculated density: 10.76 g/cm3
Space group: R-3m


Entry 9:
## Er3ScHg7 (GGA-PBE)

Data for Er3ScHg7 after structural relaxation.

Unit cell a=16.418 b=16.418 c=11.145 alpha=90.00 beta=90.00 gamma=167.47
Fractional coordinates of all 22 atoms:
Er1 0.062 0.938 0.576
Er2 0.062 0.938 0.924
Er3 0.178 0.822 0.250
Er4 0.822 0.178 0.750
Er5 0.938 0.062 0.076
Er6 0.938 0.062 0.424
Sc1 0.076 0.924 0.250
Sc2 0.924 0.076 0.750
Hg1 0.275 0.725 0.575
Hg2 0.275 0.725 0.925
Hg3 0.376 0.624 0.572
Hg4 0.376 0.624 0.928
Hg5 0.389 0.611 0.250
Hg6 0.482 0.518 0.620
Hg7 0.482 0.518 0.880
Hg8 0.518 0.482 0.120
Hg9 0.518 0.482 0.380
Hg10 0.611 0.389 0.750
Hg11 0.624 0.376 0.072
Hg12 0.624 0.376 0.428
Hg13 0.725 0.275 0.075
Hg14 0.725 0.275 0.425

Values from the calculation:
Fermi-level density of states: 18.5 states/eV/cell
Calculated density: 9.94 g/cm3
Space group: Cmcm


Entry 10:
## ErSc3Hg4 (GGA-PBE)

Data for ErSc3Hg4 after structural relaxation.

Unit cell a=5.010 b=5.010 c=7.224 alpha=90.00 beta=90.00 gamma=90.00
Fractional coordinates of all 8 atoms:
Er1 0.000 0.000 0.000
Sc1 0.000 0.000 0.500
Sc2 0.500 0.500 0.000
Sc3 0.500 0.500 0.500
Hg1 0.000 0.500 0.260
Hg2 0.000 0.500 0.740
Hg3 0.500 0.000 0.260
Hg4 0.500 0.000 0.740

Values from the calculation:
Fermi-level density of states: 7.5 states/eV/cell
Calculated density: 10.12 g/cm3
Space group: P4/mmm


Entry 11:
## Er3ScHg6 (GGA-PBE)

Data for Er3ScHg6 after structural relaxation.

Unit cell a=8.947 b=5.098 c=10.987 alpha=90.00 beta=107.45 gamma=90.00
Fractional coordinates of all 20 atoms:
Er1 0.023 0.250 0.388
Er2 0.148 0.750 0.210
Er3 0.272 0.250 0.993
Er4 0.728 0.750 0.007
Er5 0.852 0.250 0.790
Er6 0.977 0.750 0.612
Sc1 0.442 0.250 0.599
Sc2 0.558 0.750 0.401
Hg1 0.031 0.750 0.912
Hg2 0.161 0.250 0.695
Hg3 0.265 0.750 0.502
Hg4 0.352 0.250 0.313
Hg5 0.352 0.750 0.818
Hg6 0.440 0.750 0.120
Hg7 0.560 0.250 0.880
Hg8 0.648 0.250 0.182
Hg9 0.648 0.750 0.687
Hg10 0.735 0.250 0.498
Hg11 0.839 0.750 0.305
Hg12 0.969 0.250 0.088

Values from the calculation:
Fermi-level density of states: 13.2 states/eV/cell
Calculated density: 12.16 g/cm3
Space group: P2_1/m


Entry 12:
## Er5ScHg4 (GGA-PBE)

Data for Er5ScHg4 after structural relaxation.

Unit cell a=3.633 b=3.633 c=19.504 alpha=90.00 beta=90.00 gamma=90.00
Fractional coordinates of all 10 atoms:
Er1 0.000 0.000 0.000
Er2 0.000 0.000 0.193
Er3 0.000 0.000 0.390
Er4 0.000 0.000 0.610
Er5 0.000 0.000 0.807
Sc1 0.500 0.500 0.500
Hg1 0.500 0.500 0.097
Hg2 0.500 0.500 0.292
Hg3 0.500 0.500 0.708
Hg4 0.500 0.500 0.903

Values from the calculation:
Fermi-level density of states: 9.2 states/eV/cell
Calculated density: 10.86 g/cm3
Space group: P4/mmm


| no. | energy of formation from the pure elements (eV per formula unit) |
| --- | --- |
| 1 | -4.348 |
| 2 | -2.471 |
| 3 | -3.109 |
| 4 | -2.923 |
| 5 | -0.538 |
| 6 | -0.051 |
| 7 | -1.680 |
| 8 | -2.253 |
| 9 | -2.285 |
| 10 | -3.485 |
| 11 | -3.931 |
| 12 | -3.684 |